Record 1
KSi2Os | PBE | relaxed

a = 4.9323 Å, b = 4.9323 Å, c = 4.9323 Å
α = 129.89°, β = 129.89°, γ = 73.59°
Closest atoms and distances in Å follow each position.
Sites, in units of the cell vectors:
K 0.5000 0.5000 0.0000  4 Os 2.87, 8 Si 2.87-2.95
Os 0.7500 0.2500 0.5000  8 Si 2.87-2.95, 4 K 2.87
Si 0.0000 0.0000 0.0000  4 Si 2.87, 4 Os 2.87, 4 K 2.95
Si 0.2500 0.7500 0.5000  4 K 2.87, 4 Si 2.87, 4 Os 2.95

Results
- formation energy (no corrections) (eV per atom) = 1.25
- ΔE to the lowest computed polymorph (eV per formula unit) = 4.933
- spin magnetization (μB per cell) = 0.00

Record 2
KSiOs2 | PBE | relaxed

a = 4.6139 Å, b = 4.6139 Å, c = 6.9450 Å
α = 82.68°, β = 82.68°, γ = 36.05°
Closest atoms and distances in Å follow each position.
Sites, in units of the cell vectors:
K 0.2483 0.2483 0.2579  2 K 2.86
Os 0.0176 0.0176 0.8727  2 Si 2.47, 3 Os 2.47-2.56
Os 0.7571 0.7571 0.7748  3 Os 2.47-2.56, 2 Si 2.59
Si 0.4771 0.4771 0.5946  4 Os 2.47-2.59

Results
- formation energy (no corrections) (eV per atom) = 0.51
- spin magnetization (μB per cell) = 0.00

Record 3
KSi2Os | PBE | relaxed

a = 4.2546 Å, b = 4.2546 Å, c = 7.7297 Å
α = 65.89°, β = 65.89°, γ = 42.60°
Closest atoms and distances in Å follow each position.
Sites, in units of the cell vectors:
K 0.5462 0.5462 0.4937  2 K 3.09, 4 Si 3.29-3.43
Os 0.3173 0.3173 0.0038  6 Si 2.46-2.48
Si 0.9712 0.9712 0.1376  3 Os 2.46-2.47, 2 Si 2.52
Si 0.6654 0.6654 0.8649  3 Os 2.47-2.48, 2 Si 2.52

Results
- formation energy (no corrections) (eV per atom) = 0.03
- ΔE to the lowest computed polymorph (eV per formula unit) = 0.078
- spin magnetization (μB per cell) = 0.00

> What is the spin magnetization in the first record?

0.00 μB per cell